Entry 1:
Material: UAlGa
Method: DFT, PBE
State: relaxed

extended XYZ file:
```
12
Lattice="7.5404 0.0000 0.0000 0.0000 3.6985 0.0000 0.0000 0.0000 8.1813" Properties=species:S:1:pos:R:3 pbc="T T T"
U 0.0647 0.9246 0.8653
U 3.7055 2.7738 4.9559
U 3.8349 0.9246 3.2254
U 7.4757 2.7738 7.3160
Al 1.1540 0.9246 4.8033
Al 2.6162 2.7738 0.7126
Al 4.9242 0.9246 7.4686
Al 6.3864 2.7738 3.3780
Ga 1.4105 2.7738 2.9837
Ga 2.3597 0.9246 7.0743
Ga 5.1807 2.7738 1.1070
Ga 6.1299 0.9246 5.1976
```

Calculated volume ... 19.0 Å³/atom
DFT total energy ... -74.702 eV per cell
Magnetic moment ... 0.000 μB/atom
Mass density ... 9.7 Mg/m³

***

Entry 2:
Material: UAlGa
Method: DFT, PBE
State: relaxed

extended XYZ file:
```
6
Lattice="3.8553 0.0000 0.0000 0.0000 3.8553 0.0000 0.0000 0.0000 7.4978" Properties=species:S:1:pos:R:3 pbc="T T T"
U 0.9638 2.8915 0.0000
U 2.8915 0.9638 0.0000
Al 0.9638 0.9638 2.4917
Al 2.8915 2.8915 5.0061
Ga 0.9638 0.9638 5.1090
Ga 2.8915 2.8915 2.3888
```

Calculated volume ... 18.6 Å³/atom
DFT total energy ... -36.670 eV per cell
Magnetic moment ... 0.248 μB/atom
Mass density ... 10.0 Mg/m³

***

Entry 3:
Material: U2Al3Ga3
Method: DFT, PBE
State: relaxed

extended XYZ file:
```
8
Lattice="4.2288 0.0000 0.0000 0.0000 4.2659 0.0000 0.0000 0.0000 8.5769" Properties=species:S:1:pos:R:3 pbc="T T T"
U 0.0000 0.0000 2.1317
U 0.0000 0.0000 6.4452
Al 0.0000 2.1330 0.0000
Al 0.0000 2.1330 4.2885
Al 2.1144 0.0000 4.2885
Ga 2.1144 0.0000 0.0000
Ga 2.1144 2.1330 2.2004
Ga 2.1144 2.1330 6.3765
```

Calculated volume ... 19.3 Å³/atom
DFT total energy ... -44.294 eV per cell
Magnetic moment ... 0.584 μB/atom
Mass density ... 8.2 Mg/m³

***

Which formula does entry 3 have?
U2Al3Ga3